Entry 1:
NdMgNpO6: optimized geometry, PBE.

The structure in extended XYZ format:
```
18
Lattice="-2.663 -4.726 0.173 4.781 0.329 -2.549 4.774 -2.373 8.648" Properties=species:S:1:pos:R:3 pbc="T T T"
O 1.990 -3.190 -0.291
Np 5.880 -3.135 4.845
O 4.902 -3.579 6.564
O 2.427 -2.453 2.272
Np 1.012 -3.634 1.428
Nd 2.387 -1.186 4.324
O -0.278 -4.889 0.495
O 7.170 -1.881 5.778
O -0.238 -2.048 1.252
Mg 3.399 -4.821 5.752
Mg 3.493 -1.949 0.521
O 7.130 -4.722 5.021
O 6.848 -2.856 3.085
O 0.044 -3.914 3.187
Nd 0.000 0.000 0.000
O 2.127 -5.312 1.654
O 4.465 -4.316 4.000
O 4.765 -1.457 4.619
```

Calculated values
DFT total energy (eV/atom): -8.301
Energy relative to the elements, uncorrected (eV/atom): -2.851
Magnetic moment (μB per cell): 0.0



Entry 2:
Nd2MgO: optimized geometry, PBE.

The structure in extended XYZ format:
```
4
Lattice="3.160 0.000 0.000 0.000 3.160 0.000 0.000 0.000 8.749" Properties=species:S:1:pos:R:3 pbc="T T T"
Mg 1.580 1.580 4.375
Nd 0.000 0.000 7.161
Nd 0.000 0.000 1.588
O 1.580 1.580 0.000
```

Calculated values
DFT total energy (eV/atom): -4.965
Energy relative to the lowest polymorph listed for this composition (eV per atom): 0.114
Energy relative to the elements, uncorrected (eV/atom): -0.943
Magnetic moment (μB per cell): 0.0



Entry 3:
NdMgO3: optimized geometry, PBE.

The structure in extended XYZ format:
```
5
Lattice="-0.227 3.229 2.193 0.027 -2.196 3.235 3.903 0.203 0.106" Properties=species:S:1:pos:R:3 pbc="T T T"
Mg 1.851 0.618 2.767
Nd 0.000 0.000 0.000
O -0.100 0.517 2.714
O 1.838 1.716 1.150
O 1.965 -0.996 1.670
```

Calculated values
DFT total energy (eV/atom): -6.669
Energy relative to the elements, uncorrected (eV/atom): -2.422
Magnetic moment (μB per cell): 1.0



- DFT total energy of number 2 (Nd2MgO)?
  -4.965 eV/atom



- Which formula does entry 3 have?
  NdMgO3



- Which of these has the lowest energy relative to the elements, uncorrected?
  NdMgNpO6